Here is a relaxed structure of ReGeMo3 from the Alexandria database. Energies are from PBE-GGA.

Cell and atoms, written as POSCAR:
```
ReGeMo3
1.0
-0.954 4.028 1.796
-4.354 -0.569 -1.036
-0.698 -1.952 4.007
Re Mo Ge
1 3 1
Direct
0.500 0.500 0.500 Re
0.000 0.500 0.000 Mo
0.000 0.000 0.500 Mo
0.500 0.000 0.000 Mo
0.000 0.000 0.000 Ge
```

Output
VASP energy, eV per atom: -8.326
Space group: Pm-3m, No. 221
Fermi-level density of states, states/eV/f.u.: 8.6
Density, g/cm3: 9.88
Excess energy over the best structure of this formula in the dataset, meV/atom: 0
DFT formation energy, eV per atom: 1.586